[1]
Computed, not measured: a relaxed structure of Sr4TaCu at the GGA-PBE level of DFT.

Its uncorrected energy is -2.487 eV per atom. The formation enthalpy at 0 K comes out at 1.29 eV/atom. The calculation puts the magnetization at 5.61 μB per formula unit. The volume comes out at 911 Å³/cell. The value obtained for the density of states at the Fermi level is 26.11 states/eV per cell.

The space group is F-43m (No. 216) and the conventional cell measures 9.694, 9.694 and 9.694 Å, with angles of 90.00, 90.00 and 90.00 degrees. The inequivalent atoms are Sr at (0.124, 0.124, 0.124), Ta at (0.250, 0.250, 0.750) and Cu at (0.000, 0.000, 0.500).

[2]
Computed, not measured: a relaxed structure of SrTa2Cu at the GGA-PBE level of DFT.

Its uncorrected energy is -6.863 eV per atom. The formation enthalpy at 0 K comes out at 0.51 eV/atom. The calculation puts the magnetization at 0.00 μB per formula unit. The volume comes out at 165 Å³/cell. As for the energy above the most stable polymorph in this dataset: 75.0 meV/atom. The value obtained for the density of states at the Fermi level is 8.08 states/eV per cell.

The space group is Immm (No. 71) and the conventional cell measures 2.992, 4.925 and 11.165 Å, with angles of 90.00, 90.00 and 90.00 degrees. The inequivalent atoms are Sr at (0.000, 0.000, 0.000), Ta at (0.000, 0.500, 0.215) and Cu at (0.000, 0.000, 0.500).

[3]
Computed, not measured: a relaxed structure of Sr2TaCu2 at the GGA-PBE level of DFT.

Its uncorrected energy is -3.803 eV per atom. The formation enthalpy at 0 K comes out at 0.88 eV/atom. The calculation puts the magnetization at 2.49 μB per formula unit. The volume comes out at 243 Å³/cell. As for the energy above the most stable polymorph in this dataset: 271.5 meV/atom. The value obtained for the density of states at the Fermi level is 8.25 states/eV per cell.

The space group is P4/mbm (No. 127) and the conventional cell measures 8.666, 8.666 and 3.230 Å, with angles of 90.00, 90.00 and 90.00 degrees. The inequivalent atoms are Sr at (0.150, 0.350, 0.000), Ta at (0.000, 0.000, 0.000) and Cu at (0.150, 0.650, 0.500).

[4]
Computed, not measured: a relaxed structure of SrTaCu2 at the GGA-PBE level of DFT.

Its uncorrected energy is -4.988 eV per atom. The formation enthalpy at 0 K comes out at 0.44 eV/atom. The calculation puts the magnetization at 0.00 μB per formula unit. The volume comes out at 80 Å³/cell. As for the energy above the most stable polymorph in this dataset: 180.5 meV/atom. The value obtained for the density of states at the Fermi level is 3.24 states/eV per cell.

The space group is Pm (No. 6) and the conventional cell measures 2.992, 4.347 and 6.293 Å, with angles of 90.00, 103.57 and 90.00 degrees. The inequivalent atoms are Sr at (0.000, 0.000, 0.000), Ta at (0.705, 0.500, 0.404), Cu at (0.263, 0.000, 0.522) and Cu at (0.379, 0.500, 0.756).

[5]
Computed, not measured: a relaxed structure of Sr2TaCu at the GGA-PBE level of DFT.

Its uncorrected energy is -3.773 eV per atom. The formation enthalpy at 0 K comes out at 1.06 eV/atom. The calculation puts the magnetization at 3.18 μB per formula unit. The volume comes out at 426 Å³/cell. As for the energy above the most stable polymorph in this dataset: 554.2 meV/atom. The value obtained for the density of states at the Fermi level is 22.13 states/eV per cell.

The space group is F-43m (No. 216) and the conventional cell measures 7.522, 7.522 and 7.522 Å, with angles of 90.00, 90.00 and 90.00 degrees. The inequivalent atoms are Sr at (0.000, 0.000, 0.000), Sr at (0.250, 0.250, 0.250), Ta at (0.000, 0.000, 0.500) and Cu at (0.250, 0.250, 0.750).

[6]
Computed, not measured: a relaxed structure of SrTaCu at the GGA-PBE level of DFT.

Its uncorrected energy is -5.503 eV per atom. The formation enthalpy at 0 K comes out at 0.37 eV/atom. The calculation puts the magnetization at 0.00 μB per formula unit. The volume comes out at 168 Å³/cell. As for the energy above the most stable polymorph in this dataset: 117.7 meV/atom. The value obtained for the density of states at the Fermi level is 3.77 states/eV per cell.

The space group is P3m1 (No. 156) and the conventional cell measures 4.3473, 4.3473 and 10.2509 Å, with angles of 90.00, 90.00 and 120.00 degrees. The inequivalent atoms are Sr at (0.0000, 0.0000, 0.0000), Sr at (0.3333, 0.6667, 0.3594), Ta at (0.0000, 0.0000, 0.6334), Ta at (0.6667, 0.3333, 0.7716), Cu at (0.3333, 0.6667, 0.7749) and Cu at (0.6667, 0.3333, 0.5282).

[7]
Computed, not measured: a relaxed structure of SrTaCu2 at the GGA-PBE level of DFT.

Its uncorrected energy is -4.871 eV per atom. The formation enthalpy at 0 K comes out at 0.56 eV/atom. The calculation puts the magnetization at 0.00 μB per formula unit. The volume comes out at 150 Å³/cell. As for the energy above the most stable polymorph in this dataset: 297.2 meV/atom. The value obtained for the density of states at the Fermi level is 6.15 states/eV per cell.

The space group is Imm2 (No. 44) and the conventional cell measures 2.889, 4.968 and 10.456 Å, with angles of 90.00, 90.00 and 90.00 degrees. The inequivalent atoms are Sr at (0.000, 0.000, 0.000), Ta at (0.000, 0.500, 0.795), Cu at (0.000, 0.000, 0.527) and Cu at (0.000, 0.500, 0.229).

[8]
Computed, not measured: a relaxed structure of SrTa2Cu at the GGA-PBE level of DFT.

Its uncorrected energy is -6.383 eV per atom. The formation enthalpy at 0 K comes out at 0.99 eV/atom. The calculation puts the magnetization at 0.00 μB per formula unit. The volume comes out at 165 Å³/cell. As for the energy above the most stable polymorph in this dataset: 555.3 meV/atom. The value obtained for the density of states at the Fermi level is 9.87 states/eV per cell.

The space group is Cmmm (No. 65) and the conventional cell measures 5.598, 10.464 and 2.822 Å, with angles of 90.00, 90.00 and 90.00 degrees. The inequivalent atoms are Sr at (0.000, 0.000, 0.000), Ta at (0.250, 0.250, 0.500) and Cu at (0.000, 0.500, 0.000).